# 1
The following is a DFT calculation (PBE-GGA) of a geometry-optimized VZnSeBr2 structure.

Space-group type: P4/mmm (123)
D(E_F) in states/eV/f.u.: 2.38
Polymorph energy (0 for the lowest one) in eV per formula unit: 2.043
Raw formation energy in eV per atom: 0.233

a b c (Å): 4.9860 4.9860 5.2510
angles (deg): 90.00 90.00 90.00
Fractional coordinates of all 5 atoms:
Br  0.5000  0.0000  0.0000
Br  0.0000  0.5000  0.0000
Se  0.0000  0.0000  0.5000
Zn  0.0000  0.0000  0.0000
V  0.5000  0.5000  0.5000

---

# 2
The following is a DFT calculation (PBE-GGA) of a geometry-optimized YHgPS2 structure.

Space-group type: P4/mmm (123)
D(E_F) in states/eV/f.u.: 4.74
Polymorph energy (0 for the lowest one) in eV per formula unit: 0.611
Raw formation energy in eV per atom: 0.142

a b c (Å): 4.9255 4.9255 4.9561
angles (deg): 90.00 90.00 90.00
Fractional coordinates of all 5 atoms:
S  0.5000  0.0000  0.0000
S  0.0000  0.5000  0.0000
P  0.0000  0.0000  0.5000
Hg  0.0000  0.0000  0.0000
Y  0.5000  0.5000  0.5000

---

# 3
The following is a DFT calculation (PBE-GGA) of a geometry-optimized MnCdP2 structure.

VASP energy in eV/cell: -18.52
Space-group type: F-43m (216)
D(E_F) in states/eV/f.u.: 3.55

a b c (Å): 4.5775 4.5775 4.5775
angles (deg): 60.00 60.00 60.00
Fractional coordinates of all 4 atoms:
Cd  0.5000  0.5000  0.5000
P  0.2500  0.2500  0.2500
P  0.0000  0.0000  0.0000
Mn  0.7500  0.7500  0.7500

---

# 4
The following is a DFT calculation (PBE-GGA) of a geometry-optimized LaBe2SbO8 structure.

Space-group type: P-3 (147)
D(E_F) in states/eV/f.u.: 5.81
Raw formation energy in eV per atom: -1.595

a b c (Å): 4.7665 4.7665 7.1666
angles (deg): 90.00 90.00 120.00
Fractional coordinates of all 12 atoms:
La  0.0000  0.0000  0.0000
O  0.9666  0.6725  0.3155
O  0.6725  0.7060  0.6845
O  0.7060  0.0334  0.3155
O  0.3333  0.6667  0.9737
O  0.3275  0.2940  0.3155
O  0.0334  0.3275  0.6845
O  0.6667  0.3333  0.0263
O  0.2940  0.9666  0.6845
Be  0.6667  0.3333  0.2550
Be  0.3333  0.6667  0.7450
Sb  0.0000  0.0000  0.5000